Entry from the Alexandria database: a relaxed AlZn2Cd crystal (PBE).

The space group is Cmmm (No. 65) and the conventional cell measures 4.0439, 4.1593 and 8.3009 Å, with angles of 90.00, 90.00 and 90.00 degrees. The distinct sites, in fractional coordinates, are Al at (0.0000, 0.0000, 0.0000), Zn at (0.0000, 0.5000, 0.2310) and Cd at (0.0000, 0.0000, 0.5000).

For the offset from the most stable computed form, the calculation gives 0.001 eV/atom. The formation energy comes out at 0.0604 eV per atom.

Entry from the Alexandria database: a relaxed KRb2NpO5 crystal (PBE).

The space group is Immm (No. 71) and the conventional cell measures 4.3471, 6.3570 and 13.1519 Å, with angles of 90.00, 90.00 and 90.00 degrees. The distinct sites, in fractional coordinates, are K at (0.0000, 0.0000, 0.0000), Rb at (0.0000, 0.5000, 0.2247), Np at (0.0000, 0.0000, 0.5000), O at (0.0000, 0.2170, 0.3930) and O at (0.0000, 0.5000, 0.0000).

The raw formation energy comes out at -2.233 eV per atom.

Entry from the Alexandria database: a relaxed NbIF crystal (PBE).

The space group is P-1 (No. 2) and the conventional cell measures 3.7282, 5.8966 and 7.6894 Å, with angles of 77.15, 89.78 and 71.60 degrees. The distinct sites, in fractional coordinates, are Nb at (0.1545, 0.1915, 0.4768), I at (0.3330, 0.8291, 0.7951) and F at (0.0413, 0.4136, 0.6652).

The raw formation energy comes out at -1.321 eV per atom.

Entry from the Alexandria database: a relaxed PmEuAgPd crystal (PBE).

The space group is F-43m (No. 216) and the conventional cell measures 7.3571, 7.3571 and 7.3571 Å, with angles of 90.00, 90.00 and 90.00 degrees. The distinct sites, in fractional coordinates, are Pm at (0.0000, 0.0000, 0.0000), Eu at (0.0000, 0.0000, 0.5000), Ag at (0.2500, 0.2500, 0.2500) and Pd at (0.2500, 0.2500, 0.7500).

The formation energy comes out at -0.4753 eV per atom.

Entry from the Alexandria database: a relaxed LiCaAg2 crystal (PBE).

The space group is Pmm2 (No. 25) and the conventional cell measures 3.5744, 4.8385 and 5.0941 Å, with angles of 90.00, 90.00 and 90.00 degrees. The distinct sites, in fractional coordinates, are Li at (0.0000, 0.0000, 0.0000), Ca at (0.0000, 0.5000, 0.4401), Ag at (0.5000, 0.0000, 0.5725) and Ag at (0.5000, 0.5000, 0.9361).

For the offset from the most stable computed form, the calculation gives 0.053 eV/atom. The formation energy comes out at -0.1921 eV per atom.

Entry from the Alexandria database: a relaxed Pm3Al9Au2 crystal (PBE).

The space group is Immm (No. 71) and the conventional cell measures 4.3468, 10.2991 and 12.5512 Å, with angles of 90.00, 90.00 and 90.00 degrees. The distinct sites, in fractional coordinates, are Pm at (0.0000, 0.0000, 0.0000), Pm at (0.0000, 0.0000, 0.3142), Al at (0.0000, 0.2769, 0.1312), Al at (0.0000, 0.3722, 0.3356), Al at (0.0000, 0.5000, 0.0000) and Au at (0.0000, 0.2180, 0.5000).

The formation energy comes out at -0.5363 eV per atom.